This record from Alexandria via LeMat-Bulk describes a PBEsol-optimized structure of YZrAg3. The functional is SCAN.

## Properties
Total moment, μB/cell: 1.42
DFT total energy, eV/atom: -29.475
Formation energy, eV per formula unit: 5.3
Space group: Pm-3m

Cell and atoms, written as CIF:
```
data_YZrAg3
_symmetry_space_group_name_H-M 'P 1'
_symmetry_Int_Tables_number 1
_symmetry_space_group_name_Hall 'P 1'
_cell_length_a 5.023
_cell_length_b 5.023
_cell_length_c 5.023
_cell_angle_alpha 90.00
_cell_angle_beta 90.00
_cell_angle_gamma 90.00
loop_
_atom_site_label
_atom_site_type_symbol
_atom_site_fract_x
_atom_site_fract_y
_atom_site_fract_z
_atom_site_occupancy
Ag1 Ag 0.500 0.000 0.000 1
Ag2 Ag 0.000 0.500 0.000 1
Ag3 Ag 0.000 0.000 0.500 1
Y1 Y 0.000 0.000 0.000 1
Zr1 Zr 0.500 0.500 0.500 1
```

---

This record from Alexandria via LeMat-Bulk describes a PBEsol-optimized structure of Y4ZrAg. The functional is SCAN.

## Properties
Total moment, μB/cell: 0.00
DFT total energy, eV/atom: -28.348
Formation energy, eV per formula unit: 3.4
Space group: F-43m

Cell and atoms, written as CIF:
```
data_Y4ZrAg
_symmetry_space_group_name_H-M 'P 1'
_symmetry_Int_Tables_number 1
_symmetry_space_group_name_Hall 'P 1'
_cell_length_a 6.123
_cell_length_b 6.123
_cell_length_c 6.123
_cell_angle_alpha 60.00
_cell_angle_beta 60.00
_cell_angle_gamma 60.00
loop_
_atom_site_label
_atom_site_type_symbol
_atom_site_fract_x
_atom_site_fract_y
_atom_site_fract_z
_atom_site_occupancy
Y1 Y 0.376 0.376 0.376 1
Y2 Y 0.376 0.376 0.873 1
Y3 Y 0.873 0.376 0.376 1
Y4 Y 0.376 0.873 0.376 1
Zr1 Zr 0.750 0.750 0.750 1
Ag1 Ag 0.000 0.000 0.000 1
```

---

This record from Alexandria via LeMat-Bulk describes a PBEsol-optimized structure of YZrAg. The functional is SCAN.

## Properties
Total moment, μB/cell: 0.00
Offset from the most stable computed form, meV per atom: 0
DFT total energy, eV/atom: -29.866
Formation energy, eV per formula unit: 0.3
Space group: P3m1

Cell and atoms, written as CIF:
```
data_YZrAg
_symmetry_space_group_name_H-M 'P 1'
_symmetry_Int_Tables_number 1
_symmetry_space_group_name_Hall 'P 1'
_cell_length_a 3.268
_cell_length_b 3.268
_cell_length_c 7.376
_cell_angle_alpha 90.00
_cell_angle_beta 90.00
_cell_angle_gamma 120.00
loop_
_atom_site_label
_atom_site_type_symbol
_atom_site_fract_x
_atom_site_fract_y
_atom_site_fract_z
_atom_site_occupancy
Y1 Y 0.333 0.667 0.672 1
Zr1 Zr 0.667 0.333 0.319 1
Ag1 Ag 0.000 0.000 0.009 1
```

---

This record from Alexandria via LeMat-Bulk describes a PBEsol-optimized structure of ZnAg. The functional is SCAN.

## Properties
Total moment, μB/cell: 0.00
DFT total energy, eV/atom: -22.470
Formation energy, eV per formula unit: -0.1
Space group: P2_1/m

Cell and atoms, written as CIF:
```
data_ZnAg
_symmetry_space_group_name_H-M 'P 1'
_symmetry_Int_Tables_number 1
_symmetry_space_group_name_Hall 'P 1'
_cell_length_a 2.789
_cell_length_b 4.274
_cell_length_c 5.265
_cell_angle_alpha 90.00
_cell_angle_beta 104.97
_cell_angle_gamma 90.00
loop_
_atom_site_label
_atom_site_type_symbol
_atom_site_fract_x
_atom_site_fract_y
_atom_site_fract_z
_atom_site_occupancy
Ag1 Ag 0.669 0.750 0.840 1
Ag2 Ag 0.331 0.250 0.160 1
Zn1 Zn 0.069 0.250 0.639 1
Zn2 Zn 0.931 0.750 0.361 1
```

---

This record from Alexandria via LeMat-Bulk describes a PBEsol-optimized structure of ZnAg. The functional is SCAN.

## Properties
Total moment, μB/cell: 0.00
DFT total energy, eV/atom: -22.473
Formation energy, eV per formula unit: -0.1
Space group: Pm

Cell and atoms, written as CIF:
```
data_ZnAg
_symmetry_space_group_name_H-M 'P 1'
_symmetry_Int_Tables_number 1
_symmetry_space_group_name_Hall 'P 1'
_cell_length_a 2.790
_cell_length_b 7.499
_cell_length_c 13.027
_cell_angle_alpha 90.29
_cell_angle_beta 90.01
_cell_angle_gamma 90.01
loop_
_atom_site_label
_atom_site_type_symbol
_atom_site_fract_x
_atom_site_fract_y
_atom_site_fract_z
_atom_site_occupancy
Ag1 Ag 0.778 0.697 0.667 1
Ag2 Ag 0.278 0.357 0.662 1
Ag3 Ag 0.778 0.149 0.819 1
Ag4 Ag 0.278 0.825 0.481 1
Ag5 Ag 0.278 0.812 0.854 1
Ag6 Ag 0.278 0.324 0.352 1
Ag7 Ag 0.778 0.195 0.168 1
Ag8 Ag 0.278 0.853 0.167 1
Ag9 Ag 0.278 0.327 0.986 1
Zn1 Zn 0.778 0.497 0.832 1
Zn2 Zn 0.777 0.002 0.332 1
Zn3 Zn 0.777 0.504 0.500 1
Zn4 Zn 0.778 0.653 0.319 1
Zn5 Zn 0.777 0.651 0.014 1
Zn6 Zn 0.278 0.000 0.666 1
Zn7 Zn 0.778 0.154 0.514 1
Zn8 Zn 0.779 0.001 0.001 1
Zn9 Zn 0.277 0.500 0.168 1
```

---

This record from Alexandria via LeMat-Bulk describes a PBEsol-optimized structure of ZnAg3. The functional is SCAN.

## Properties
Total moment, μB/cell: 0.00
DFT total energy, eV/atom: -26.906
Formation energy, eV per formula unit: 0.0
Space group: R-3m

Cell and atoms, written as CIF:
```
data_ZnAg3
_symmetry_space_group_name_H-M 'P 1'
_symmetry_Int_Tables_number 1
_symmetry_space_group_name_Hall 'P 1'
_cell_length_a 2.865
_cell_length_b 2.865
_cell_length_c 9.116
_cell_angle_alpha 80.96
_cell_angle_beta 80.96
_cell_angle_gamma 60.00
loop_
_atom_site_label
_atom_site_type_symbol
_atom_site_fract_x
_atom_site_fract_y
_atom_site_fract_z
_atom_site_occupancy
Ag1 Ag 0.500 0.500 0.500 1
Ag2 Ag 0.746 0.746 0.761 1
Ag3 Ag 0.254 0.254 0.239 1
Zn1 Zn 0.000 0.000 0.000 1
```